Record 1
DFT (PBE) results for KNa2H6Pt after structural relaxation.

Computed properties:
Final energy   -3.280 eV/atom
SG   No. 164

abc: 7.073 5.113 5.113
angles: 120.00 90.00 90.00
Last column: magnetic moment on the atom in μB.
Fractional coordinates of all 10 atoms:
H (0.860, 0.151, 0.849)  0.01
H (0.140, 0.302, 0.151)  0.01
Na (0.126, 0.333, 0.667)  0.01
H (0.860, 0.698, 0.849)  0.01
H (0.140, 0.849, 0.151)  0.01
H (0.140, 0.849, 0.698)  0.01
K (0.500, 0.000, 0.000)  0.03
Pt (0.000, 0.000, 0.000)  0.08
H (0.860, 0.151, 0.302)  0.01
Na (0.874, 0.667, 0.333)  0.01

=====

Record 2
DFT (PBE) results for BaSrMg2 after structural relaxation.

Computed properties:
Calculated formation energy   0.00 eV per atom
Final energy   -1.697 eV/atom
SG   No. 99

abc: 4.128 4.128 9.380
angles: 90.00 90.00 90.00
Fractional coordinates of all 4 atoms:
Ba (0.500, 0.500, 0.803)
Sr (0.000, 0.000, 0.438)
Mg (0.500, 0.500, 0.204)
Mg (0.000, 0.000, 0.055)

=====

Record 3
DFT (PBE) results for Ca2YGeC after structural relaxation.

Computed properties:
Calculated formation energy   -0.24 eV per atom
Final energy   -5.100 eV/atom
SG   No. 123

abc: 4.931 4.931 4.834
angles: 90.00 90.00 90.00
Fractional coordinates of all 5 atoms:
C (0.000, 0.000, 0.000)
Ca (0.000, 0.500, 0.000)
Ca (0.500, 0.000, 0.000)
Y (0.000, 0.000, 0.500)
Ge (0.500, 0.500, 0.500)